Compound: Pm9Dy2Sc
Source: Alexandria via LeMat-Bulk
Functional: GGA-PBE
Structure: optimized geometry

Computed properties:
The theoretical density is 7027 kg/m3. For the total moment, the calculation gives 0.00 μB/cell. The total energy is -4.833 eV per atom. As for the density of states at the Fermi level: 19.3 states/eV/cell. The space group is P4/mmm, No. 123.

Structure (POSCAR):
```
Pm9Dy2Sc
1.0
5.090 0.000 0.000
0.000 5.090 0.000
0.000 0.000 15.275
Pm Dy Sc
9 2 1
direct
0.000 0.000 0.000
0.000 0.000 0.331
0.000 0.000 0.669
0.000 0.500 0.162
0.000 0.500 0.500
0.000 0.500 0.838
0.500 0.000 0.162
0.500 0.000 0.500
0.500 0.000 0.838
0.500 0.500 0.331
0.500 0.500 0.669
0.500 0.500 0.000
```